# CsCo2S2 (PBE-GGA, relaxed)
data_CsCo2S2
_chemical_formula_sum 'Cs1 Co2 S2'
_cell_length_a 3.787
_cell_length_b 3.787
_cell_length_c 7.467
_cell_angle_alpha 104.69
_cell_angle_beta 104.69
_cell_angle_gamma 90.00
_space_group_name_H-M_alt 'P 1'
_space_group_IT_number 1
loop_
_space_group_symop_operation_xyz
'x,y,z'
loop_
_atom_site_label
_atom_site_fract_x
_atom_site_fract_y
_atom_site_fract_z
Cs1 0.000 0.000 0.000
Co1 0.750 0.250 0.500
Co2 0.250 0.750 0.500
S1 0.666 0.666 0.332
S2 0.334 0.334 0.668
# - Distance to the lowest polymorph of the same formula: 0.0 kJ/mol of atoms
# - Fermi-level density of states: 0.715 states/eV per atom
# - V: 20.0 A^3/atom

---

# CsCo3S (PBE-GGA, relaxed)
data_CsCo3S
_chemical_formula_sum 'Cs1 Co3 S1'
_cell_length_a 4.792
_cell_length_b 4.792
_cell_length_c 4.792
_cell_angle_alpha 90.00
_cell_angle_beta 90.00
_cell_angle_gamma 90.00
_space_group_name_H-M_alt 'P 1'
_space_group_IT_number 1
loop_
_space_group_symop_operation_xyz
'x,y,z'
loop_
_atom_site_label
_atom_site_fract_x
_atom_site_fract_y
_atom_site_fract_z
Cs1 0.000 0.000 0.000
S1 0.500 0.500 0.500
Co1 0.000 0.500 0.000
Co2 0.000 0.000 0.500
Co3 0.500 0.000 0.000
# - Distance to the lowest polymorph of the same formula: 168.0 kJ/mol of atoms
# - Fermi-level density of states: 1.254 states/eV per atom
# - V: 22.0 A^3/atom

---

# Cs2CoS2 (PBE-GGA, relaxed)
data_Cs2CoS2
_chemical_formula_sum 'Cs4 Co2 S4'
_cell_length_a 8.486
_cell_length_b 8.486
_cell_length_c 8.486
_cell_angle_alpha 136.50
_cell_angle_beta 128.42
_cell_angle_gamma 69.70
_space_group_name_H-M_alt 'P 1'
_space_group_IT_number 1
loop_
_space_group_symop_operation_xyz
'x,y,z'
loop_
_atom_site_label
_atom_site_fract_x
_atom_site_fract_y
_atom_site_fract_z
Cs1 0.475 0.647 0.827
Cs2 0.525 0.353 0.173
Cs3 0.180 0.853 0.327
Cs4 0.820 0.147 0.673
Co1 0.000 0.250 0.250
Co2 0.000 0.750 0.750
S1 0.751 0.911 0.840
S2 0.249 0.089 0.160
S3 0.071 0.411 0.660
S4 0.929 0.589 0.340
# - Fermi-level density of states: 0.651 states/eV per atom
# - V: 32.3 A^3/atom

---

no.,VASP energy (eV/atom)
1,-5.280
2,-2.813
3,-4.168